Material: Sr5Bi4O
Method: DFT, GGA-PBE
State: optimized geometry

## Properties
size of the total moment: 0.00 Bohr magnetons per cell
N(E_F): 0.54 states/eV/atom
total DFT energy (no corrections): -3.877 eV per atom
SG: No. 79
energy relative to the elements, uncorrected: -0.99 eV/atom

POSCAR file:
```
Sr5Bi4O
1.0
-5.045 5.045 3.368
5.045 -5.045 3.368
5.045 5.045 -3.368
Sr Bi O
5 4 1
direct
0.000 0.000 0.000 Sr
0.338 0.678 0.874 Sr
0.464 0.338 0.660 Sr
0.678 0.804 0.340 Sr
0.804 0.464 0.126 Sr
0.015 0.741 0.606 Bi
0.136 0.409 0.394 Bi
0.409 0.015 0.274 Bi
0.741 0.136 0.726 Bi
0.636 0.636 0.000 O
```

=====

Material: ErPa3Tl3Te8
Method: DFT, GGA-PBE
State: optimized geometry

## Properties
size of the total moment: 5.04 Bohr magnetons per cell
N(E_F): 1.39 states/eV/atom
total DFT energy (no corrections): -5.108 eV per atom
SG: No. 166
energy relative to the elements, uncorrected: -0.76 eV/atom

POSCAR file:
```
ErPa3Tl3Te8
1.0
4.329 2.499 8.493
-4.329 2.499 8.493
0.000 -4.999 8.493
Er Pa Tl Te
1 3 3 8
direct
0.000 0.000 0.000 Er
0.000 0.500 0.500 Pa
0.500 0.000 0.500 Pa
0.500 0.500 0.000 Pa
0.000 0.000 0.500 Tl
0.000 0.500 0.000 Tl
0.500 0.000 0.000 Tl
0.238 0.238 0.740 Te
0.238 0.740 0.238 Te
0.260 0.260 0.260 Te
0.260 0.762 0.762 Te
0.740 0.238 0.238 Te
0.740 0.740 0.740 Te
0.762 0.260 0.762 Te
0.762 0.762 0.260 Te
```

=====

Material: AcCd5Hg6
Method: DFT, GGA-PBE
State: optimized geometry

## Properties
size of the total moment: 0.00 Bohr magnetons per cell
N(E_F): 0.38 states/eV/atom
total DFT energy (no corrections): -0.995 eV per atom
SG: No. 12
ΔE to the lowest computed polymorph: 0 meV/atom
energy relative to the elements: -0.121 eV/atom

POSCAR file:
```
AcCd5Hg6
1.0
4.612 -7.945 0.000
4.612 7.945 0.000
-2.748 0.000 4.232
Ac Cd Hg
1 5 6
direct
0.000 0.000 0.000 Ac
0.162 0.838 0.500 Cd
0.315 0.685 0.000 Cd
0.500 0.500 0.500 Cd
0.685 0.315 0.000 Cd
0.838 0.162 0.500 Cd
0.103 0.438 0.270 Hg
0.285 0.285 0.785 Hg
0.438 0.103 0.270 Hg
0.562 0.897 0.730 Hg
0.715 0.715 0.215 Hg
0.897 0.562 0.730 Hg
```

=====

Material: ScAg2Au2
Method: DFT, GGA-PBE
State: optimized geometry

## Properties
size of the total moment: 0.00 Bohr magnetons per cell
N(E_F): 0.58 states/eV/atom
total DFT energy (no corrections): -3.874 eV per atom
SG: No. 127
ΔE to the lowest computed polymorph: 86 meV/atom
energy relative to the elements: -0.156 eV/atom

POSCAR file:
```
ScAg2Au2
1.0
7.444 0.000 0.000
0.000 7.444 0.000
0.000 0.000 3.494
Sc Ag Au
2 4 4
direct
0.000 0.000 0.000 Sc
0.500 0.500 0.000 Sc
0.129 0.371 0.000 Ag
0.371 0.871 0.000 Ag
0.629 0.129 0.000 Ag
0.871 0.629 0.000 Ag
0.172 0.672 0.500 Au
0.328 0.172 0.500 Au
0.672 0.828 0.500 Au
0.828 0.328 0.500 Au
```

=====

Material: YPb
Method: DFT, GGA-PBE
State: optimized geometry

## Properties
size of the total moment: 0.00 Bohr magnetons per cell
N(E_F): 0.70 states/eV/atom
total DFT energy (no corrections): -5.535 eV per atom
SG: No. 19
energy relative to the elements: -0.449 eV/atom

POSCAR file:
```
YPb
1.0
6.348 0.000 0.000
0.000 6.467 0.000
0.000 0.000 11.420
Y Pb
8 8
direct
0.096 0.112 0.220 Y
0.168 0.366 0.540 Y
0.332 0.634 0.040 Y
0.404 0.888 0.720 Y
0.596 0.388 0.780 Y
0.668 0.134 0.460 Y
0.832 0.866 0.960 Y
0.904 0.612 0.280 Y
0.089 0.525 0.796 Pb
0.183 0.876 0.465 Pb
0.317 0.124 0.965 Pb
0.411 0.475 0.296 Pb
0.589 0.975 0.204 Pb
0.683 0.624 0.535 Pb
0.817 0.376 0.035 Pb
0.911 0.025 0.704 Pb
```

=====

Material: BeTcNF2
Method: DFT, GGA-PBE
State: optimized geometry

## Properties
size of the total moment: 1.29 Bohr magnetons per cell
N(E_F): 0.42 states/eV/atom
total DFT energy (no corrections): -6.348 eV per atom
SG: No. 123
ΔE to the lowest computed polymorph: 0 meV/atom
energy relative to the elements, uncorrected: -1.12 eV/atom

POSCAR file:
```
BeTcNF2
1.0
3.040 0.000 0.000
0.000 3.040 0.000
0.000 0.000 6.709
Be Tc N F
1 1 1 2
direct
0.000 0.000 0.000 Be
0.500 0.500 0.500 Tc
0.000 0.000 0.500 N
0.000 0.500 0.000 F
0.500 0.000 0.000 F
```

=====

Material: TiAl6Ni
Method: DFT, GGA-PBE
State: optimized geometry

## Properties
size of the total moment: 0.00 Bohr magnetons per cell
N(E_F): 0.46 states/eV/atom
total DFT energy (no corrections): -4.722 eV per atom
SG: No. 166
ΔE to the lowest computed polymorph: 14 meV/atom
energy relative to the elements: -0.205 eV/atom

POSCAR file:
```
TiAl6Ni
1.0
4.226 2.440 2.173
-4.226 2.440 2.173
0.000 -4.879 2.173
Ti Al Ni
1 6 1
direct
0.000 0.000 0.000 Ti
0.212 0.212 0.646 Al
0.212 0.646 0.212 Al
0.354 0.788 0.788 Al
0.646 0.212 0.212 Al
0.788 0.354 0.788 Al
0.788 0.788 0.354 Al
0.500 0.500 0.500 Ni
```

=====

Material: Tb2Si9Ru3
Method: DFT, GGA-PBE
State: optimized geometry

## Properties
size of the total moment: 0.00 Bohr magnetons per cell
N(E_F): 0.23 states/eV/atom
total DFT energy (no corrections): -6.644 eV per atom
SG: No. 15
energy relative to the elements, uncorrected: -0.51 eV/atom

POSCAR file:
```
Tb2Si9Ru3
1.0
6.796 -3.559 0.000
6.796 3.559 0.000
-5.499 0.000 8.993
Tb Si Ru
4 18 6
direct
0.090 0.252 0.238 Tb
0.252 0.090 0.738 Tb
0.748 0.910 0.262 Tb
0.910 0.748 0.762 Tb
0.011 0.863 0.095 Si
0.137 0.989 0.405 Si
0.192 0.360 0.572 Si
0.210 0.584 0.273 Si
0.304 0.496 0.951 Si
0.360 0.192 0.072 Si
0.416 0.790 0.227 Si
0.422 0.578 0.750 Si
0.496 0.304 0.451 Si
0.504 0.696 0.549 Si
0.578 0.422 0.250 Si
0.584 0.210 0.773 Si
0.640 0.808 0.928 Si
0.696 0.504 0.049 Si
0.790 0.416 0.727 Si
0.808 0.640 0.428 Si
0.863 0.011 0.595 Si
0.989 0.137 0.905 Si
0.000 0.500 0.000 Ru
0.167 0.649 0.513 Ru
0.351 0.833 0.987 Ru
0.500 0.000 0.500 Ru
0.649 0.167 0.013 Ru
0.833 0.351 0.487 Ru
```

=====

Material: ErTmCd2
Method: DFT, GGA-PBE
State: optimized geometry

## Properties
size of the total moment: 0.00 Bohr magnetons per cell
N(E_F): 0.74 states/eV/atom
total DFT energy (no corrections): -3.033 eV per atom
SG: No. 225
ΔE to the lowest computed polymorph: 0 meV/atom
energy relative to the elements: -0.317 eV/atom

POSCAR file:
```
ErTmCd2
1.0
7.406 0.000 0.000
0.000 7.406 0.000
0.000 0.000 7.406
Er Tm Cd
4 4 8
direct
0.000 0.000 0.000 Er
0.000 0.500 0.500 Er
0.500 0.000 0.500 Er
0.500 0.500 0.000 Er
0.000 0.000 0.500 Tm
0.000 0.500 0.000 Tm
0.500 0.000 0.000 Tm
0.500 0.500 0.500 Tm
0.250 0.250 0.250 Cd
0.250 0.250 0.750 Cd
0.250 0.750 0.250 Cd
0.250 0.750 0.750 Cd
0.750 0.250 0.250 Cd
0.750 0.250 0.750 Cd
0.750 0.750 0.250 Cd
0.750 0.750 0.750 Cd
```

=====

Material: RbTeI5
Method: DFT, GGA-PBE
State: optimized geometry

## Properties
size of the total moment: 0.00 Bohr magnetons per cell
N(E_F): 0.34 states/eV/atom
total DFT energy (no corrections): -2.165 eV per atom
SG: No. 15
ΔE to the lowest computed polymorph: 0 meV/atom
energy relative to the elements, uncorrected: -0.47 eV/atom

POSCAR file:
```
RbTeI5
1.0
8.013 -4.124 0.000
8.013 4.124 0.000
-0.873 0.000 12.038
Rb Te I
2 2 10
direct
0.003 0.997 0.750 Rb
0.997 0.003 0.250 Rb
0.500 0.500 0.000 Te
0.500 0.500 0.500 Te
0.099 0.688 0.987 I
0.135 0.563 0.493 I
0.312 0.901 0.513 I
0.437 0.865 0.007 I
0.490 0.510 0.250 I
0.510 0.490 0.750 I
0.563 0.135 0.993 I
0.688 0.099 0.487 I
0.865 0.437 0.507 I
0.901 0.312 0.013 I
```

=====

Material: K3Mn2Cl7
Method: DFT, GGA-PBE
State: optimized geometry

## Properties
size of the total moment: 10.00 Bohr magnetons per cell
total DFT energy (no corrections): -4.405 eV per atom
SG: No. 139
energy relative to the elements, uncorrected: -1.52 eV/atom

POSCAR file:
```
K3Mn2Cl7
1.0
-2.531 2.531 12.841
2.531 -2.531 12.841
2.531 2.531 -12.841
K Mn Cl
3 2 7
direct
0.000 0.000 0.000 K
0.181 0.181 0.000 K
0.819 0.819 0.000 K
0.399 0.399 0.000 Mn
0.601 0.601 0.000 Mn
0.097 0.597 0.500 Cl
0.303 0.303 0.000 Cl
0.403 0.903 0.500 Cl
0.500 0.500 0.000 Cl
0.597 0.097 0.500 Cl
0.697 0.697 0.000 Cl
0.903 0.403 0.500 Cl
```

=====

Material: CeYTl
Method: DFT, GGA-PBE
State: optimized geometry

## Properties
size of the total moment: 3.63 Bohr magnetons per cell
N(E_F): 2.05 states/eV/atom
total DFT energy (no corrections): -5.123 eV per atom
SG: No. 156
ΔE to the lowest computed polymorph: 32 meV/atom
energy relative to the elements: -0.201 eV/atom

POSCAR file:
```
CeYTl
1.0
5.438 0.000 0.000
-2.719 4.709 0.000
0.000 0.000 6.806
Ce Y Tl
2 2 2
direct
0.000 0.000 0.000 Ce
0.333 0.667 0.779 Ce
0.000 0.000 0.494 Y
0.667 0.333 0.240 Y
0.333 0.667 0.271 Tl
0.667 0.333 0.734 Tl
```